Here is MnCr2PbO8 after structural relaxation from Alexandria. Energies are from PBE+U.

Results
E_tot, eV/atom: -6.848
SG: No. 12

Cell: 5.286 5.286 7.393 Å, 90.94 90.94 65.51°
Fractional positions:
1 Mn 0.000 0.000 0.000
2 Cr 0.361 0.361 0.231
3 Cr 0.639 0.639 0.769
4 Pb 0.000 0.000 0.500
5 O 0.222 0.713 0.215
6 O 0.232 0.232 0.068
7 O 0.280 0.280 0.430
8 O 0.287 0.778 0.785
9 O 0.713 0.222 0.215
10 O 0.720 0.720 0.570
11 O 0.768 0.768 0.932
12 O 0.778 0.287 0.785